Record 1
# TlCr2Co, optimized geometry, DFT PBE
# total DFT energy (no corrections)	-6.5299	eV/atom
# energy relative to the lowest polymorph listed for this composition	178	meV per atom
# total magnetization	0.8	μB per formula unit
# formation energy from the elements	0.650	eV/atom
# DOS at the Fermi energy	0.81	states/eV per atom
# symmetry	No. 160
# volume	60.1	Å³/cell
data_TlCr2Co
_chemical_formula_sum 'Tl1 Cr2 Co1'
_symmetry_space_group_name_H-M 'P 1'
_symmetry_Int_Tables_number 1
_symmetry_space_group_name_Hall 'P 1'
_cell_length_a 8.190
_cell_length_b 8.190
_cell_length_c 8.190
_cell_angle_alpha 20.70
_cell_angle_beta 20.70
_cell_angle_gamma 20.70
loop_
_atom_site_label
_atom_site_type_symbol
_atom_site_fract_x
_atom_site_fract_y
_atom_site_fract_z
Tl1 Tl 0.498 0.498 0.498
Cr1 Cr 0.998 0.998 0.998
Cr2 Cr 0.266 0.266 0.266
Co1 Co 0.739 0.739 0.739



Record 2
# Nd4YAs5, optimized geometry, DFT PBE
# total DFT energy (no corrections)	-6.3944	eV/atom
# total magnetization	0.0	μB per formula unit
# formation energy from the elements	-1.516	eV/atom
# DOS at the Fermi energy	0.06	states/eV per atom
# symmetry	No. 87
# volume	270.5	Å³/cell
data_Nd4YAs5
_chemical_formula_sum 'Nd4 Y1 As5'
_symmetry_space_group_name_H-M 'P 1'
_symmetry_Int_Tables_number 1
_symmetry_space_group_name_Hall 'P 1'
_cell_length_a 6.006
_cell_length_b 7.352
_cell_length_c 7.352
_cell_angle_alpha 80.40
_cell_angle_beta 65.89
_cell_angle_gamma 65.89
loop_
_atom_site_label
_atom_site_type_symbol
_atom_site_fract_x
_atom_site_fract_y
_atom_site_fract_z
As1 As 0.705 0.197 0.394
Nd1 Nd 0.402 0.399 0.799
Y1 Y 0.001 0.000 0.000
Nd2 Nd 0.801 0.799 0.601
As2 As 0.501 0.000 0.000
Nd3 Nd 0.201 0.201 0.399
As3 As 0.100 0.606 0.197
Nd4 Nd 0.600 0.601 0.201
As4 As 0.902 0.394 0.803
As5 As 0.297 0.803 0.606



Record 3
# W3Cl, optimized geometry, DFT PBE
# total DFT energy (no corrections)	-8.9730	eV/atom
# energy relative to the lowest polymorph listed for this composition	630	meV per atom
# total magnetization	0.0	μB per formula unit
# DOS at the Fermi energy	1.14	states/eV per atom
# symmetry	No. 225
# volume	65.4	Å³/cell
# raw formation energy	1.204	eV/atom
data_W3Cl
_chemical_formula_sum 'W3 Cl1'
_symmetry_space_group_name_H-M 'P 1'
_symmetry_Int_Tables_number 1
_symmetry_space_group_name_Hall 'P 1'
_cell_length_a 4.523
_cell_length_b 4.523
_cell_length_c 4.523
_cell_angle_alpha 60.00
_cell_angle_beta 60.00
_cell_angle_gamma 60.00
loop_
_atom_site_label
_atom_site_type_symbol
_atom_site_fract_x
_atom_site_fract_y
_atom_site_fract_z
W1 W 0.500 0.500 0.500
Cl1 Cl 0.000 0.000 0.000
W2 W 0.750 0.750 0.750
W3 W 0.250 0.250 0.250



Record 4
# TlHg2P, optimized geometry, DFT PBE
# total DFT energy (no corrections)	-1.9504	eV/atom
# energy relative to the lowest polymorph listed for this composition	0	meV per atom
# total magnetization	0.0	μB per formula unit
# formation energy from the elements	0.144	eV/atom
# DOS at the Fermi energy	0.26	states/eV per atom
# symmetry	No. 8
# volume	111.9	Å³/cell
data_TlHg2P
_chemical_formula_sum 'Tl1 Hg2 P1'
_symmetry_space_group_name_H-M 'P 1'
_symmetry_Int_Tables_number 1
_symmetry_space_group_name_Hall 'P 1'
_cell_length_a 4.376
_cell_length_b 4.376
_cell_length_c 7.199
_cell_angle_alpha 72.32
_cell_angle_beta 72.32
_cell_angle_gamma 60.07
loop_
_atom_site_label
_atom_site_type_symbol
_atom_site_fract_x
_atom_site_fract_y
_atom_site_fract_z
Hg1 Hg 0.009 0.009 0.972
P1 P 0.475 0.475 0.577
Tl1 Tl 0.237 0.237 0.289
Hg2 Hg 0.780 0.780 0.662



- Number 4 is which compound?
  TlHg2P